No. 1
The following is a DFT calculation (PBE) of an optimized crystal structure of K4CeU3Te8.

a = 9.0684 Å, b = 9.8236 Å, c = 9.0686 Å
α = 117.50°, β = 120.00°, γ = 90.00°
Site moments in Bohr magnetons follow the coordinates.
Fractional positions:
Te 0.7599 0.2867 0.0267  -0.05
Te 0.2631 0.2893 0.5262  -0.06
Te 0.7599 0.2867 0.5197  -0.05
Te 0.7332 0.7133 0.9733  -0.05
Te 0.7369 0.7107 0.4738  -0.06
Te 0.2401 0.7133 0.9733  -0.05
Te 0.2401 0.7133 0.4803  -0.05
Te 0.2668 0.2867 0.0267  -0.05
K 0.0000 0.0000 0.0000  0.00
K 0.5000 0.0000 0.0000  0.00
K 0.0000 0.0000 0.5000  0.00
K 0.5000 0.0000 0.5000  0.00
U 0.0000 0.5000 0.5000  2.76
U 0.5000 0.5000 0.5000  2.76
U 0.5000 0.5000 0.0000  2.76
Ce 0.0000 0.5000 0.0000  1.05

Properties
* raw total energy: -5.30 eV per atom
* magnetization: 0.6252 μB/atom

No. 2
The following is a DFT calculation (PBE) of an optimized crystal structure of Ni2SbH.

a = 4.8787 Å, b = 4.8787 Å, c = 5.4160 Å
α = 63.23°, β = 63.23°, γ = 90.00°
Fractional positions:
H 0.5000 0.5000 0.0000
H 0.2500 0.7500 0.5000
Ni 0.8750 0.7146 0.7500
Ni 0.3750 0.5354 0.7500
Ni 0.2854 0.6250 0.2500
Ni 0.4646 0.1250 0.2500
Sb 0.7500 0.2500 0.5000
Sb 0.0000 0.0000 0.0000

Properties
* distance to the lowest polymorph of the same formula: 0 kJ/mol of formula units
* raw total energy: -4.78 eV per atom
* magnetization: 0.0000 μB/atom

No. 3
The following is a DFT calculation (PBE) of an optimized crystal structure of KGa2HgCl8.

a = 6.7060 Å, b = 6.7060 Å, c = 10.2500 Å
α = 70.91°, β = 70.91°, γ = 60.00°
Site moments in Bohr magnetons follow the coordinates.
Fractional positions:
Cl 0.1679 0.1679 0.4963  0.01
Cl 0.4411 0.6883 0.8087  0.05
Cl 0.6883 0.0619 0.8087  0.05
Cl 0.5589 0.3117 0.1913  0.05
Cl 0.3117 0.9381 0.1913  0.05
Cl 0.8321 0.8321 0.5037  0.01
Cl 0.0619 0.4411 0.8087  0.05
Cl 0.9381 0.5589 0.1913  0.05
Ga 0.2450 0.2450 0.2650  0.01
Ga 0.7550 0.7550 0.7350  0.01
K 0.5000 0.5000 0.5000  0.00
Hg 0.0000 0.0000 0.0000  0.41

Properties
* raw total energy: -2.99 eV per atom
* magnetization: 0.0826 μB/atom

No. 4
The following is a DFT calculation (PBE) of an optimized crystal structure of TlNiTe2.

a = 3.8559 Å, b = 5.5925 Å, c = 5.8874 Å
α = 62.05°, β = 90.00°, γ = 90.00°
Fractional positions:
Ni 0.5000 0.7500 0.7500
Te 0.0000 0.5622 0.6048
Te 0.0000 0.9378 0.8952
Tl 0.5000 0.2500 0.2500

Properties
* raw total energy: -3.75 eV per atom
* magnetization: 0.0000 μB/atom

No. 5
The following is a DFT calculation (PBE) of an optimized crystal structure of LiSi.

a = 5.1148 Å, b = 5.1148 Å, c = 5.1148 Å
α = 90.00°, β = 90.00°, γ = 90.00°
Fractional positions:
Si 0.5000 0.5000 0.5000
Si 0.0000 0.0000 0.5000
Si 0.0000 0.5000 0.0000
Si 0.5000 0.0000 0.0000
Li 0.5000 0.0000 0.5000
Li 0.0000 0.5000 0.5000
Li 0.0000 0.0000 0.0000
Li 0.5000 0.5000 0.0000

Properties
* raw total energy: -3.13 eV per atom
* magnetization: 0.0000 μB/atom

No. 6
The following is a DFT calculation (PBE) of an optimized crystal structure of Er5AlCd2.

a = 7.6743 Å, b = 7.6743 Å, c = 9.1729 Å
α = 114.73°, β = 114.73°, γ = 90.00°
Fractional positions:
Cd 0.3700 0.8700 0.0000
Cd 0.8700 0.6300 0.0000
Cd 0.1300 0.3700 0.0000
Cd 0.6300 0.1300 0.0000
Er 0.1795 0.0067 0.6862
Er 0.0067 0.5067 0.6862
Er 0.3205 0.8205 0.3138
Er 0.6795 0.1795 0.6862
Er 0.9933 0.4933 0.3138
Er 0.5000 0.5000 0.0000
Er 0.8205 0.9933 0.3138
Er 0.0000 0.0000 0.0000
Er 0.4933 0.3205 0.3138
Er 0.5067 0.6795 0.6862
Al 0.7500 0.7500 0.5000
Al 0.2500 0.2500 0.5000

Properties
* energy of formation from the pure elements: -0.188 eV per atom
* raw total energy: -3.74 eV per atom
* magnetization: 0.0000 μB/atom